LiRu2CN | Alexandria | PBE | relaxed; N(E_F) = 4.97 states/eV per cell; crystal system = tetragonal; uncorrected formation energy = 1.0691 eV/atom
1.0
-1.119 -3.574 1.183
-0.755 -0.934 -3.538
3.680 -1.299 -0.443
Li Ru N C
1 2 1 1
direct
0.000 0.500 0.000
0.000 0.000 0.500
0.500 0.000 0.000
0.500 0.500 0.500
0.000 0.000 0.000



TlTeIr2 | Alexandria | PBE | relaxed; N(E_F) = 5.69 states/eV per cell; crystal system = cubic; uncorrected formation energy = 0.8841 eV/atom
1.0
-1.334 -4.463 1.093
1.207 -3.630 -2.875
3.268 -3.193 1.422
Ir Tl Te
2 1 1
direct
0.000 0.000 0.000
0.250 0.250 0.250
0.750 0.750 0.750
0.500 0.500 0.500



CuReSi2 | Alexandria | PBE | relaxed; N(E_F) = 1.94 states/eV per cell; crystal system = orthorhombic; uncorrected formation energy = 0.1430 eV/atom
1.0
3.933 0.000 0.000
0.000 2.717 -0.005
0.000 0.010 5.027
Cu Si Re
1 2 1
direct
0.500 0.250 0.250
0.000 0.248 0.511
0.000 0.252 0.989
0.500 0.750 0.750



uncorrected formation energy of number 2 (TlTeIr2)? 0.8841 eV/atom